An optimized crystal structure of Ho2TmS. Source: the Alexandria database, functional PBE-GGA.

a = 3.624 Å, b = 3.624 Å, c = 10.143 Å
α = 79.71°, β = 79.71°, γ = 60.00°
Sites, in units of the cell vectors:
Ho  0.889  0.889  0.334
Tm  0.000  0.000  0.000
Ho  0.111  0.111  0.666
S  0.500  0.500  0.500

Output
Its crystal system is trigonal. Its symmetry is R-3m, No. 166. The volume comes out at 113 Å³/cell. For the final energy, the calculation gives -5.14 eV/atom.